[1]
A geometry-optimized Co4Ge2H structure. Source: Alexandria via LeMat-Bulk, functional PBE-GGA.

Total DFT energy (no corrections) (eV/cell): -83.2

abc: 3.5554 3.5554 11.8427
angles: 90.00 90.00 90.00
With the nearest neighbours (Å) after each atom.
Space group I4/mmm (No. 139)
Unique sites:
Co 0.0000 0.0000 0.1647 [4 per cell]  1 H 1.95
Co 0.0000 0.5000 0.0000 [4 per cell]  2 H 1.78
Ge 0.0000 0.0000 0.3602 [4 per cell]  9 Co 2.32-2.53
H 0.0000 0.0000 0.0000 [2 per cell]  6 Co 1.78-1.95

[2]
A geometry-optimized Co3GeH structure. Source: Alexandria via LeMat-Bulk, functional PBE-GGA.

Total DFT energy (no corrections) (eV/cell): -29.9
Offset from the most stable computed form (eV per formula unit): 0.00

abc: 3.5904 3.5904 3.5904
angles: 90.00 90.00 90.00
With the nearest neighbours (Å) after each atom.
Space group Pm-3m (No. 221)
Unique sites:
Co 0.0000 0.0000 0.5000 [3 per cell]  2 H 1.80
Ge 0.5000 0.5000 0.5000 [1 per cell]  12 Co 2.54
H 0.0000 0.0000 0.0000 [1 per cell]  6 Co 1.80

[3]
A geometry-optimized Co3GeH structure. Source: Alexandria via LeMat-Bulk, functional PBE-GGA.

Total DFT energy (no corrections) (eV/cell): -118.1
Offset from the most stable computed form (eV per formula unit): 0.40

abc: 3.8683 7.7598 6.5327
angles: 90.00 90.00 90.00
With the nearest neighbours (Å) after each atom.
Space group Ama2 (No. 40)
Unique sites:
Co 0.2500 0.1077 0.0000 [4 per cell]  2 H 1.69
Co 0.2500 0.3775 0.8119 [4 per cell]  2 H 1.65
Co 0.2500 0.3847 0.2376 [4 per cell]  4 Ge 2.42-2.63, 6 Co 2.44-2.65
Ge 0.2500 0.1718 0.5250 [4 per cell]  10 Co 2.41-2.67
H 0.0000 0.0000 0.1687 [4 per cell]  4 Co 1.65-1.69